(1)
# PmHoInAu (GGA-PBE, optimized geometry)
# M_tot ... 0.0 μB per cell
# E_form ... -0.59 eV per atom
# E_tot ... -4.42 eV per atom
# Calculated volume ... 417 Å³/cell
data_PmHoInAu
_space_group_name_H-M_alt 'F -4 3 m'
_space_group_IT_number 216
_space_group_name_Hall 'F -4 2 3'
_cell_length_a 7.470
_cell_length_b 7.470
_cell_length_c 7.470
_cell_angle_alpha 90.00
_cell_angle_beta 90.00
_cell_angle_gamma 90.00
loop_
_atom_site_label
_atom_site_fract_x
_atom_site_fract_y
_atom_site_fract_z
Pm1 0.000 0.000 0.000
Ho1 0.000 0.000 0.500
In1 0.250 0.250 0.750
Au1 0.250 0.250 0.250

(2)
# PmHoInAu (GGA-PBE, optimized geometry)
# M_tot ... 0.0 μB per cell
# E_form ... -0.66 eV per atom
# E_tot ... -4.50 eV per atom
# Calculated volume ... 103 Å³/cell
data_PmHoInAu
_space_group_name_H-M_alt 'P 4 m m'
_space_group_IT_number 99
_cell_length_a 3.640
_cell_length_b 3.640
_cell_length_c 7.797
_cell_angle_alpha 90.00
_cell_angle_beta 90.00
_cell_angle_gamma 90.00
loop_
_space_group_symop_operation_xyz
'x,y,z'
'-y,x,z'
'-x,-y,z'
'y,-x,z'
'-x,y,z'
'y,x,z'
'x,-y,z'
'-y,-x,z'
loop_
_atom_site_label
_atom_site_fract_x
_atom_site_fract_y
_atom_site_fract_z
Pm1 0.000 0.000 0.000
Ho1 0.000 0.000 0.537
In1 0.500 0.500 0.275
Au1 0.500 0.500 0.740